Record 1
TiGaCu2 | Alexandria via LeMat-Bulk | PBE | optimized geometry; E = -4.578 eV/atom; E_form = 200 meV/atom; crystal system = tetragonal; symmetry = I-42d (122)
1.0
-3.451 3.451 2.598
3.451 -3.451 2.598
3.451 3.451 -2.598
Ti Ga Cu
2 2 4
Cartesian
0.000 0.000 0.000
0.000 3.451 1.299
3.451 0.000 1.299
0.000 0.000 2.598
1.725 1.852 -0.649
5.050 1.725 0.649
1.725 1.599 1.948
-1.599 1.725 3.247



Record 2
In4Ag15Au | Alexandria via LeMat-Bulk | PBE | optimized geometry; E = -2.877 eV/atom; E_form = -27 meV/atom; crystal system = tetragonal; symmetry = P4/mmm (123)
1.0
4.264 0.000 0.000
0.000 4.264 0.000
0.000 0.000 20.611
In Ag Au
4 15 1
Cartesian
0.000 0.000 2.087
0.000 0.000 6.270
0.000 0.000 14.341
0.000 0.000 18.524
0.000 2.132 0.000
0.000 2.132 4.168
0.000 2.132 8.313
0.000 2.132 12.298
0.000 2.132 16.443
2.132 0.000 0.000
2.132 0.000 4.168
2.132 0.000 8.313
2.132 0.000 12.298
2.132 0.000 16.443
2.132 2.132 2.083
2.132 2.132 6.227
2.132 2.132 10.305
2.132 2.132 14.384
2.132 2.132 18.528
0.000 0.000 10.305



Record 3
ZnCrTe2 | Alexandria via LeMat-Bulk | PBE | optimized geometry; E = -4.331 eV/atom; crystal system = monoclinic; symmetry = Cm (8)
1.0
6.665 -1.877 0.000
6.665 1.877 0.000
-0.003 0.000 3.926
Zn Cr Te
1 1 2
Cartesian
0.000 0.000 0.000
2.934 0.000 1.972
7.421 0.000 1.965
10.636 0.000 0.008



Record 4
Cs2CdGaCl | Alexandria via LeMat-Bulk | PBE | optimized geometry; E = -1.960 eV/atom; crystal system = tetragonal; symmetry = P4/mmm (123)
1.0
7.059 0.000 0.000
0.000 7.059 0.000
0.000 0.000 4.996
Cs Cd Ga Cl
2 1 1 1
Cartesian
0.000 3.529 0.000
3.529 0.000 0.000
0.000 0.000 2.498
0.000 0.000 0.000
3.529 3.529 2.498